! SCAN Pr2ZnGa, PBEsol geometry; values from VASP
&SYSTEM
  ibrav = 0, nat = 4, ntyp = 3
/
ATOMIC_SPECIES
Pr 140.91 Pr.upf
Zn 65.41 Zn.upf
Ga 69.72 Ga.upf
CELL_PARAMETERS angstrom
5.167 0.000 0.000
2.583 4.474 0.000
2.583 1.491 4.218
ATOMIC_POSITIONS angstrom
Pr 2.583 1.491 1.055
Pr 7.750 4.474 3.164
Zn 0.000 0.000 0.000
Ga 5.167 2.983 2.109
! Total magnetic moment = 0.0000 μB/atom
! Total DFT energy (no corrections) = -2.1780 Ry per atom
! V = 24.4 Å³/atom
! Space-group type = Fm-3m, No. 225